The following is a PBE calculation of ZrTc after structural relaxation, from Alexandria via LeMat-Bulk.

Values from the calculation:
ΔH_f (0 K)	-0.124	eV per atom
space group	P-1 (2)
ρ	8.60	g/cm³
E_tot	-9.581	eV/atom

Cell lengths 3.112, 5.005, 5.005 Å; angles 104.23, 98.91, 99.26 degrees
Fractional coordinates of all 4 atoms:
Tc 0.908 0.208 0.205
Zr 0.506 0.718 0.285
Zr 0.494 0.282 0.715
Tc 0.092 0.792 0.795